Compound: LiGdAlTl
Source: Alexandria
Functional: PBE
Structure: optimized geometry

Computed properties:
**ΔE_f**: -0.245 eV/atom
**DOS at the Fermi energy**: 1.7 states/eV/f.u.
**Magnetization**: 7.01 μB/f.u.

The structure in extended XYZ format:
```
4
Lattice="0.0000 3.5869 3.5869 3.5869 0.0000 3.5869 3.5869 3.5869 0.0000" Properties=species:S:1:pos:R:3 pbc="T T T"
Li 0.0000 0.0000 0.0000
Gd 3.5869 3.5869 3.5869
Al 5.3803 5.3803 5.3803
Tl 1.7934 1.7934 1.7934
```

***

Compound: LiGdTmAl
Source: Alexandria
Functional: PBE
Structure: optimized geometry

Computed properties:
**ΔE_f**: -0.209 eV/atom
**DOS at the Fermi energy**: 3.1 states/eV/f.u.
**Magnetization**: 7.49 μB/f.u.

The structure in extended XYZ format:
```
4
Lattice="0.0000 3.6367 3.6367 3.6367 0.0000 3.6367 3.6367 3.6367 0.0000" Properties=species:S:1:pos:R:3 pbc="T T T"
Li 0.0000 0.0000 0.0000
Gd 1.8183 1.8183 1.8183
Tm 5.4550 5.4550 5.4550
Al 3.6367 3.6367 3.6367
```

***

Compound: GdLuAl2
Source: Alexandria
Functional: PBE
Structure: optimized geometry

Computed properties:
**Distance to the lowest polymorph of the same formula**: 0.718 kcal/mol of atoms
**ΔE_f**: -0.361 eV/atom
**DOS at the Fermi energy**: 2.6 states/eV/f.u.
**Magnetization**: 7.32 μB/f.u.

The structure in extended XYZ format:
```
4
Lattice="4.6899 0.0000 0.0000 0.0000 4.6899 0.0000 0.0000 0.0000 4.1838" Properties=species:S:1:pos:R:3 pbc="T T T"
Gd 0.0000 0.0000 0.0000
Lu 2.3449 2.3449 0.0000
Al 0.0000 2.3449 2.0919
Al 2.3449 0.0000 2.0919
```

***

Compound: GdLuAl2
Source: Alexandria
Functional: PBE
Structure: optimized geometry

Computed properties:
**Distance to the lowest polymorph of the same formula**: 0.000 kcal/mol of atoms
**ΔE_f**: -0.392 eV/atom
**DOS at the Fermi energy**: 2.0 states/eV/f.u.
**Magnetization**: 7.07 μB/f.u.

The structure in extended XYZ format:
```
4
Lattice="3.5659 0.0000 0.0000 0.0000 3.5659 0.0000 0.0000 0.0000 7.2129" Properties=species:S:1:pos:R:3 pbc="T T T"
Gd 0.0000 0.0000 0.0000
Lu 0.0000 0.0000 3.6064
Al 1.7829 1.7829 1.8978
Al 1.7829 1.7829 5.3151
```

***

Question: Number 1 is which compound?
Answer: LiGdAlTl